1.
This record from the Alexandria database describes LaCu3As2 after structural relaxation. The functional is PBE.

Unit cell a=7.965 b=7.965 c=9.086 alpha=123.67 beta=123.67 gamma=29.91
Fractional positions:
La  0.152  0.152  0.082
La  0.848  0.848  0.918
Cu  0.040  0.040  0.348
Cu  0.379  0.379  0.471
Cu  0.410  0.410  0.237
Cu  0.590  0.590  0.763
Cu  0.621  0.621  0.529
Cu  0.960  0.960  0.652
As  0.167  0.167  0.730
As  0.445  0.445  0.789
As  0.555  0.555  0.211
As  0.833  0.833  0.270

Results
The magnetic moment is 0.000 μB/atom. The space-group type is C2/m. The formation energy from the elements comes out at -0.4431 eV/atom.

2.
This record from the Alexandria database describes LaPu2Th after structural relaxation. The functional is PBE.

Unit cell a=4.976 b=4.976 c=4.836 alpha=90.00 beta=90.00 gamma=90.00
Fractional positions:
La  0.000  0.000  0.000
Pu  0.000  0.500  0.500
Pu  0.500  0.000  0.500
Th  0.500  0.500  0.000

Results
The magnetic moment is 2.979 μB/atom. The space-group type is P4/mmm. The formation energy from the elements comes out at 0.2034 eV/atom.